Compound: Ac2PmGa2Pt7
Source: the Alexandria database
Functional: PBE-GGA
Structure: optimized geometry Values from VASP.

Summary:
Energy of formation: -0.982 eV per atom
Space-group type: C2/m, No. 12
Total energy: -73.10 eV/f.u.

Geometry as Quantum ESPRESSO input:
```
&SYSTEM
  ibrav = 0, nat = 12, ntyp = 4
/
ATOMIC_SPECIES
Ac 227.00 Ac.upf
Pm 145.00 Pm.upf
Ga 69.72 Ga.upf
Pt 195.08 Pt.upf
CELL_PARAMETERS angstrom
4.2278 0.0130 -0.1196
0.0181 4.2278 -0.1196
1.6994 1.6973 14.1073
ATOMIC_POSITIONS angstrom
Ac 4.4432 4.4378 4.7937
Ac 1.5021 1.5003 9.0744
Pm 0.0000 0.0000 0.0000
Ga 3.7185 3.7139 10.4993
Ga 2.2269 2.2241 3.3689
Pt 2.1230 2.1204 -0.1196
Pt 2.4080 2.4051 5.8564
Pt 3.5373 3.5330 8.0118
Pt 4.3003 2.1893 1.9524
Pt 2.1946 4.2976 1.9524
Pt 3.7508 1.6405 11.9158
Pt 1.6450 3.7488 11.9158
```